# 1
The following is a DFT calculation (PBE) of Ce4SnH3Rh12 after structural relaxation.

## Properties
**Calculated total energy**: -272.3 eV for the cell shown

Cell and atoms, written as CIF:
```
data_Ce4SnH3Rh12
_symmetry_space_group_name_H-M 'I m -3 m'
_symmetry_Int_Tables_number 229
_symmetry_space_group_name_Hall '-I 4 2 3'
_cell_length_a 8.5374
_cell_length_b 8.5374
_cell_length_c 8.5374
_cell_angle_alpha 90.00
_cell_angle_beta 90.00
_cell_angle_gamma 90.00
loop_
_atom_site_label
_atom_site_type_symbol
_atom_site_fract_x
_atom_site_fract_y
_atom_site_fract_z
Ce1 Ce 0.2500 0.2500 0.2500
Sn1 Sn 0.0000 0.0000 0.0000
H1 H 0.0000 0.0000 0.5000
Rh1 Rh 0.0000 0.0000 0.2942
Rh2 Rh 0.0000 0.2500 0.5000
```

***

# 2
The following is a DFT calculation (PBE) of BaRhW2 after structural relaxation.

## Properties
**Energy relative to the elements**: 1216 meV per atom
**Calculated total energy**: -60.6 eV for the cell shown

Cell and atoms, written as CIF:
```
data_BaRhW2
_symmetry_space_group_name_H-M 'C 1 2/m 1'
_symmetry_Int_Tables_number 12
_symmetry_space_group_name_Hall '-C 2y'
_cell_length_a 5.5361
_cell_length_b 10.4942
_cell_length_c 2.8903
_cell_angle_alpha 90.00
_cell_angle_beta 109.56
_cell_angle_gamma 90.00
loop_
_atom_site_label
_atom_site_type_symbol
_atom_site_fract_x
_atom_site_fract_y
_atom_site_fract_z
Ba1 Ba 0.0000 0.0000 0.0000
Rh1 Rh 0.0000 0.5000 0.0000
W1 W 0.2500 0.2500 0.5000
```

***

# 3
The following is a DFT calculation (PBE) of Ca2CuOs after structural relaxation.

## Properties
**Energy relative to the elements**: 581 meV per atom
**Calculated total energy**: -51.0 eV for the cell shown

Cell and atoms, written as CIF:
```
data_Ca2CuOs
_symmetry_space_group_name_H-M 'R -3 m'
_symmetry_Int_Tables_number 166
_symmetry_space_group_name_Hall '-R 3 2"'
_cell_length_a 3.3216
_cell_length_b 3.3216
_cell_length_c 26.9177
_cell_angle_alpha 90.00
_cell_angle_beta 90.00
_cell_angle_gamma 120.00
loop_
_atom_site_label
_atom_site_type_symbol
_atom_site_fract_x
_atom_site_fract_y
_atom_site_fract_z
Ca1 Ca 0.0000 0.0000 0.2466
Cu1 Cu 0.0000 0.0000 0.0000
Os1 Os 0.0000 0.0000 0.5000
```

***

# 4
The following is a DFT calculation (PBE) of MgZn2SbO6 after structural relaxation.

## Properties
**Raw formation energy**: -1.50 eV per atom
**Calculated total energy**: -212.0 eV for the cell shown

Cell and atoms, written as CIF:
```
data_MgZn2SbO6
_symmetry_space_group_name_H-M 'C 1 2/c 1'
_symmetry_Int_Tables_number 15
_symmetry_space_group_name_Hall '-C 2yc'
_cell_length_a 10.7250
_cell_length_b 9.2242
_cell_length_c 5.6030
_cell_angle_alpha 90.00
_cell_angle_beta 109.26
_cell_angle_gamma 90.00
loop_
_atom_site_label
_atom_site_type_symbol
_atom_site_fract_x
_atom_site_fract_y
_atom_site_fract_z
Mg1 Mg 0.0000 0.0842 0.2500
Zn1 Zn 0.2043 0.4197 0.1703
Sb1 Sb 0.0000 0.2566 0.7500
O1 O 0.0868 0.2524 0.1301
O2 O 0.1052 0.0903 0.6678
O3 O 0.1438 0.4036 0.7877
```

***

# 5
The following is a DFT calculation (PBE) of Tb6HgGe2Se3 after structural relaxation.

## Properties
**Raw formation energy**: -1.28 eV per atom
**Calculated total energy**: -126.3 eV for the cell shown

Cell and atoms, written as CIF:
```
data_Tb6HgGe2Se3
_symmetry_space_group_name_H-M 'C 1 2/m 1'
_symmetry_Int_Tables_number 12
_symmetry_space_group_name_Hall '-C 2y'
_cell_length_a 18.3924
_cell_length_b 4.1472
_cell_length_c 8.4346
_cell_angle_alpha 90.00
_cell_angle_beta 106.87
_cell_angle_gamma 90.00
loop_
_atom_site_label
_atom_site_type_symbol
_atom_site_fract_x
_atom_site_fract_y
_atom_site_fract_z
Tb1 Tb 0.0010 0.0000 0.2363
Tb2 Tb 0.1708 0.5000 0.0709
Tb3 Tb 0.1710 0.5000 0.5889
Hg1 Hg 0.0000 0.5000 0.5000
Ge1 Ge 0.1628 0.0000 0.8237
Se1 Se 0.0000 0.5000 0.0000
Se2 Se 0.1672 0.0000 0.3284
```